Material: Ac3Pm8Pr2
Method: DFT, GGA-PBE
State: optimized geometry

abc: 11.3308 11.3308 5.8365
angles: 90.21 90.21 42.04
With the nearest neighbours (Å) after each atom.
Fractional coordinates of all 13 atoms:
Ac: 0.0000 0.0000 0.0000  4 Pm 3.39, 4 Ac 3.74
Ac: 0.2879 0.7121 0.5000  3 Ac 3.45-3.74, 6 Pm 3.69-3.76
Ac: 0.7121 0.2879 0.5000  3 Ac 3.45-3.74, 6 Pm 3.69-3.76
Pm: 0.1351 0.1351 0.4976  2 Pr 3.64-3.69, 3 Ac 3.69-4.07, 5 Pm 3.81-4.01
Pm: 0.1862 0.5896 0.9984  3 Pm 3.28-3.62, 1 Ac 3.39, 2 Pr 3.54-3.63
Pm: 0.3244 0.3244 0.4954  2 Pr 3.42-3.43, 4 Pm 3.60-3.62
Pm: 0.4104 0.8138 0.0016  3 Pm 3.28-3.62, 1 Ac 3.39, 2 Pr 3.54-3.63
Pm: 0.5896 0.1862 0.9984  3 Pm 3.28-3.62, 1 Ac 3.39, 2 Pr 3.54-3.63
Pm: 0.6756 0.6756 0.5046  2 Pr 3.42-3.43, 4 Pm 3.60-3.62
Pm: 0.8138 0.4104 0.0016  3 Pm 3.28-3.62, 1 Ac 3.39, 2 Pr 3.54-3.63
Pm: 0.8649 0.8649 0.5024  2 Pr 3.64-3.69, 3 Ac 3.69-4.07, 5 Pm 3.81-4.01
Pr: 0.2398 0.2398 0.9938  8 Pm 3.42-3.69
Pr: 0.7602 0.7602 0.0062  8 Pm 3.42-3.69

Calculated total energy = -0.319 Ry/atom
Energy relative to the elements = 0.260 eV per atom
DOS at the Fermi energy = 1.818 states/eV per atom

Material: Ac3PmPr8
Method: DFT, GGA-PBE
State: optimized geometry

abc: 9.1181 9.1181 9.1181
angles: 136.38 98.67 97.19
With the nearest neighbours (Å) after each atom.
Fractional coordinates of all 12 atoms:
Ac: 0.0000 0.0000 0.0000  8 Pr 3.56-3.65
Ac: 0.2559 0.5000 0.7559  10 Pr 3.96-4.39
Ac: 0.7441 0.5000 0.2441  10 Pr 3.96-4.39
Pm: 0.5000 0.0000 0.5000  8 Pr 3.36-3.59
Pr: 0.0816 0.8285 0.2531  6 Pr 3.51-3.88, 1 Pm 3.59, 1 Ac 3.65
Pr: 0.2629 0.0230 0.7602  6 Pr 3.25-3.59, 1 Pm 3.36, 1 Ac 3.56
Pr: 0.2629 0.5027 0.2398  6 Pr 3.25-3.59, 1 Pm 3.36, 1 Ac 3.56
Pr: 0.4246 0.1715 0.2531  6 Pr 3.51-3.88, 1 Pm 3.59, 1 Ac 3.65
Pr: 0.5754 0.8285 0.7469  6 Pr 3.51-3.88, 1 Pm 3.59, 1 Ac 3.65
Pr: 0.7371 0.4973 0.7602  6 Pr 3.25-3.59, 1 Pm 3.36, 1 Ac 3.56
Pr: 0.7371 0.9770 0.2398  6 Pr 3.25-3.59, 1 Pm 3.36, 1 Ac 3.56
Pr: 0.9184 0.1715 0.7469  6 Pr 3.51-3.88, 1 Pm 3.59, 1 Ac 3.65

Calculated total energy = -0.322 Ry/atom
Energy relative to the elements = 0.227 eV per atom
DOS at the Fermi energy = 1.252 states/eV per atom

Material: AcPm6Pr
Method: DFT, GGA-PBE
State: optimized geometry

abc: 5.2278 5.2278 10.4581
angles: 90.00 90.00 90.00
With the nearest neighbours (Å) after each atom.
Fractional coordinates of all 8 atoms:
Ac: 0.0000 0.0000 0.0000  12 Pm 3.70-3.73
Pm: 0.0000 0.5000 0.2551  2 Pr 3.66, 8 Pm 3.66-3.73, 2 Ac 3.73
Pm: 0.0000 0.5000 0.7449  2 Pr 3.66, 8 Pm 3.66-3.73, 2 Ac 3.73
Pm: 0.5000 0.0000 0.2551  2 Pr 3.66, 8 Pm 3.66-3.73, 2 Ac 3.73
Pm: 0.5000 0.0000 0.7449  2 Pr 3.66, 8 Pm 3.66-3.73, 2 Ac 3.73
Pm: 0.5000 0.5000 0.0000  4 Ac 3.70, 8 Pm 3.73
Pm: 0.5000 0.5000 0.5000  8 Pm 3.66, 4 Pr 3.70
Pr: 0.0000 0.0000 0.5000  12 Pm 3.66-3.70

Calculated total energy = -0.342 Ry/atom
Energy relative to the elements = 0.023 eV per atom
DOS at the Fermi energy = 1.629 states/eV per atom